1.
# Li2PuTe2, relaxed, DFT PBE-GGA
# Fermi-level density of states = 3.062 states/eV per atom
# mass density = 6.453 g/cm3
# VASP energy = -5.75 eV per atom
# raw formation energy = -0.865 eV/atom
# V = 132.0 Å³/f.u.
data_Li2PuTe2
_cell_length_a 7.529
_cell_length_b 7.332
_cell_length_c 6.852
_cell_angle_alpha 64.02
_cell_angle_beta 61.09
_cell_angle_gamma 54.89
_symmetry_space_group_name_H-M 'P 1'
_symmetry_Int_Tables_number 1
_symmetry_space_group_name_Hall 'P 1'
loop_
_atom_site_label
_atom_site_type_symbol
_atom_site_fract_x
_atom_site_fract_y
_atom_site_fract_z
Li1 Li 0.008 0.742 0.008
Li2 Li 0.258 0.992 0.258
Li3 Li 0.742 0.008 0.742
Li4 Li 0.992 0.258 0.992
Pu1 Pu 0.375 0.375 0.375
Pu2 Pu 0.625 0.625 0.625
Te1 Te 0.098 0.098 0.652
Te2 Te 0.348 0.348 0.902
Te3 Te 0.652 0.652 0.098
Te4 Te 0.902 0.902 0.348

2.
# LiPu2ThTe4, relaxed, DFT PBE-GGA
# Fermi-level density of states = 2.781 states/eV per atom
# mass density = 8.412 g/cm3
# VASP energy = -7.40 eV per atom
# raw formation energy = -1.075 eV/atom
# V = 244.3 Å³/f.u.
data_LiPu2ThTe4
_cell_length_a 7.665
_cell_length_b 4.395
_cell_length_c 7.674
_cell_angle_alpha 90.00
_cell_angle_beta 109.10
_cell_angle_gamma 90.00
_symmetry_space_group_name_H-M 'P 1'
_symmetry_Int_Tables_number 1
_symmetry_space_group_name_Hall 'P 1'
loop_
_atom_site_label
_atom_site_type_symbol
_atom_site_fract_x
_atom_site_fract_y
_atom_site_fract_z
Li1 Li 0.000 0.000 0.000
Pu1 Pu 0.000 0.500 0.500
Pu2 Pu 0.500 0.000 0.500
Th1 Th 0.500 0.500 0.000
Te1 Te 0.240 0.500 0.241
Te2 Te 0.241 0.000 0.751
Te3 Te 0.759 0.000 0.249
Te4 Te 0.760 0.500 0.759

3.
# Li3Pu2ThTe6, relaxed, DFT PBE-GGA
# Fermi-level density of states = 2.461 states/eV per atom
# mass density = 6.958 g/cm3
# VASP energy = -6.12 eV per atom
# raw formation energy = -1.068 eV/atom
# V = 359.5 Å³/f.u.
data_Li3Pu2ThTe6
_cell_length_a 7.676
_cell_length_b 7.676
_cell_length_c 7.495
_cell_angle_alpha 99.81
_cell_angle_beta 99.81
_cell_angle_gamma 120.00
_symmetry_space_group_name_H-M 'P 1'
_symmetry_Int_Tables_number 1
_symmetry_space_group_name_Hall 'P 1'
loop_
_atom_site_label
_atom_site_type_symbol
_atom_site_fract_x
_atom_site_fract_y
_atom_site_fract_z
Li1 Li 0.000 0.000 0.000
Li2 Li 0.335 0.665 0.000
Li3 Li 0.665 0.335 0.000
Pu1 Pu 0.167 0.833 0.500
Pu2 Pu 0.833 0.167 0.500
Th1 Th 0.500 0.500 0.500
Te1 Te 0.081 0.413 0.239
Te2 Te 0.254 0.254 0.760
Te3 Te 0.413 0.081 0.239
Te4 Te 0.587 0.919 0.761
Te5 Te 0.746 0.746 0.240
Te6 Te 0.919 0.587 0.761

4.
# LiPuTh2Te5, relaxed, DFT PBE-GGA
# Fermi-level density of states = 1.680 states/eV per atom
# mass density = 8.352 g/cm3
# VASP energy = -6.25 eV per atom
# raw formation energy = -1.055 eV/atom
# V = 269.0 Å³/f.u.
data_LiPuTh2Te5
_cell_length_a 9.610
_cell_length_b 9.610
_cell_length_c 13.102
_cell_angle_alpha 90.00
_cell_angle_beta 90.00
_cell_angle_gamma 153.60
_symmetry_space_group_name_H-M 'P 1'
_symmetry_Int_Tables_number 1
_symmetry_space_group_name_Hall 'P 1'
loop_
_atom_site_label
_atom_site_type_symbol
_atom_site_fract_x
_atom_site_fract_y
_atom_site_fract_z
Li1 Li 0.062 0.938 0.500
Li2 Li 0.938 0.062 0.000
Pu1 Pu 0.299 0.701 0.039
Pu2 Pu 0.701 0.299 0.539
Th1 Th 0.373 0.627 0.335
Th2 Th 0.390 0.610 0.714
Th3 Th 0.610 0.390 0.214
Th4 Th 0.627 0.373 0.835
Te1 Te 0.000 0.000 0.320
Te2 Te 0.000 0.000 0.820
Te3 Te 0.134 0.866 0.031
Te4 Te 0.188 0.812 0.372
Te5 Te 0.213 0.787 0.703
Te6 Te 0.455 0.545 0.109
Te7 Te 0.545 0.455 0.609
Te8 Te 0.787 0.213 0.203
Te9 Te 0.812 0.188 0.872
Te10 Te 0.866 0.134 0.531

5.
# LiPu2TlTe4, relaxed, DFT PBE-GGA
# Fermi-level density of states = 3.328 states/eV per atom
# mass density = 7.612 g/cm3
# VASP energy = -6.57 eV per atom
# raw formation energy = -0.876 eV/atom
# V = 263.9 Å³/f.u.
data_LiPu2TlTe4
_cell_length_a 7.758
_cell_length_b 7.758
_cell_length_c 15.751
_cell_angle_alpha 90.00
_cell_angle_beta 90.00
_cell_angle_gamma 146.17
_symmetry_space_group_name_H-M 'P 1'
_symmetry_Int_Tables_number 1
_symmetry_space_group_name_Hall 'P 1'
loop_
_atom_site_label
_atom_site_type_symbol
_atom_site_fract_x
_atom_site_fract_y
_atom_site_fract_z
Li1 Li 0.162 0.838 0.750
Li2 Li 0.838 0.162 0.250
Pu1 Pu 0.367 0.633 0.063
Pu2 Pu 0.367 0.633 0.437
Pu3 Pu 0.633 0.367 0.563
Pu4 Pu 0.633 0.367 0.937
Tl1 Tl 0.113 0.887 0.250
Tl2 Tl 0.887 0.113 0.750
Te1 Te 0.000 0.000 0.000
Te2 Te 0.000 0.000 0.500
Te3 Te 0.269 0.731 0.610
Te4 Te 0.269 0.731 0.890
Te5 Te 0.438 0.562 0.250
Te6 Te 0.562 0.438 0.750
Te7 Te 0.731 0.269 0.110
Te8 Te 0.731 0.269 0.390

6.
# Li3TmPu2Te6, relaxed, DFT PBE-GGA
# Fermi-level density of states = 2.207 states/eV per atom
# mass density = 6.891 g/cm3
# VASP energy = -5.90 eV per atom
# raw formation energy = -1.091 eV/atom
# V = 347.8 Å³/f.u.
data_Li3TmPu2Te6
_cell_length_a 7.565
_cell_length_b 7.565
_cell_length_c 7.456
_cell_angle_alpha 99.72
_cell_angle_beta 99.72
_cell_angle_gamma 119.99
_symmetry_space_group_name_H-M 'P 1'
_symmetry_Int_Tables_number 1
_symmetry_space_group_name_Hall 'P 1'
loop_
_atom_site_label
_atom_site_type_symbol
_atom_site_fract_x
_atom_site_fract_y
_atom_site_fract_z
Li1 Li 0.000 0.000 0.000
Li2 Li 0.333 0.667 0.000
Li3 Li 0.667 0.333 0.000
Tm1 Tm 0.500 0.500 0.500
Pu1 Pu 0.167 0.833 0.500
Pu2 Pu 0.833 0.167 0.500
Te1 Te 0.087 0.415 0.244
Te2 Te 0.257 0.257 0.756
Te3 Te 0.415 0.087 0.244
Te4 Te 0.585 0.913 0.756
Te5 Te 0.743 0.743 0.244
Te6 Te 0.913 0.585 0.756

Question: Among the records above, which one has the highest V?
Answer: Li3Pu2ThTe6